Entry from the Alexandria database: a relaxed structure of Ta4Fe3Ru (GGA-PBE).

* formation energy from the elements: -0.20 eV per atom
* final energy: -167.30 eV/cell
* crystal system: tetragonal
* size of the total moment: 6.6 Bohr magnetons per cell

a b c (Å): 4.378 6.221 8.755
angles (deg): 90.00 90.00 90.00
Element x y z (fractional)
Ru  0.000  0.500  0.000
Ru  0.000  0.500  0.500
Fe  0.000  0.000  0.000
Fe  0.000  0.000  0.500
Fe  0.500  0.000  0.750
Fe  0.500  0.000  0.250
Fe  0.500  0.500  0.750
Fe  0.500  0.500  0.250
Ta  0.500  0.755  0.000
Ta  0.500  0.755  0.500
Ta  0.500  0.245  0.000
Ta  0.500  0.245  0.500
Ta  0.000  0.755  0.750
Ta  0.000  0.755  0.250
Ta  0.000  0.245  0.250
Ta  0.000  0.245  0.750